[1]
AcHo6Se8 PBE relaxed; symmetry = No. 148; theoretical density = 6.91 g/cm³; uncorrected energy = -5.51 eV/atom; V = 29.6 A^3/atom; raw formation energy = -1.549 eV per atom; total moment = 0.63 μB/cell; D(E_F) = 0.678 states/eV per atom
1.0
5.404 3.120 4.389
-5.404 3.120 4.389
0.000 -6.240 4.389
Ac Ho Se
1 6 8
direct
0.000 0.000 0.000
0.191 0.572 0.411
0.411 0.191 0.572
0.428 0.589 0.809
0.572 0.411 0.191
0.589 0.809 0.428
0.809 0.428 0.589
0.133 0.362 0.745
0.245 0.245 0.245
0.255 0.867 0.638
0.362 0.745 0.133
0.638 0.255 0.867
0.745 0.133 0.362
0.755 0.755 0.755
0.867 0.638 0.255

=====

[2]
InAgGe2O6 PBE relaxed; symmetry = No. 15; theoretical density = 5.62 g/cm³; uncorrected energy = -5.77 eV/atom; V = 13.7 A^3/atom; raw formation energy = -1.316 eV per atom; total moment = 0.00 μB/cell; D(E_F) = 0.310 states/eV per atom
1.0
5.145 -5.138 0.000
5.145 5.138 0.000
-0.872 0.000 5.183
In Ag Ge O
2 2 4 12
direct
0.224 0.776 0.750
0.776 0.224 0.250
0.422 0.578 0.250
0.578 0.422 0.750
0.110 0.291 0.776
0.291 0.110 0.276
0.709 0.890 0.724
0.890 0.709 0.224
0.091 0.210 0.091
0.107 0.674 0.385
0.210 0.091 0.591
0.252 0.488 0.834
0.326 0.893 0.115
0.488 0.252 0.334
0.512 0.748 0.666
0.674 0.107 0.885
0.748 0.512 0.166
0.790 0.909 0.409
0.893 0.326 0.615
0.909 0.790 0.909

=====

[3]
Be3Nb12Rh5 PBE relaxed; symmetry = No. 230; theoretical density = 6.91 g/cm³; uncorrected energy = -7.77 eV/atom; V = 19.9 A^3/atom; ΔE_f = 13.45 eV per formula unit; total moment = 0.00 μB/cell; D(E_F) = 1.283 states/eV per atom
1.0
-7.357 7.357 7.357
7.357 -7.357 7.357
7.357 7.357 -7.357
Be Nb Rh
12 48 20
direct
0.125 0.250 0.375
0.125 0.375 0.750
0.250 0.375 0.125
0.250 0.875 0.625
0.375 0.125 0.250
0.375 0.750 0.125
0.625 0.250 0.875
0.625 0.875 0.750
0.750 0.125 0.375
0.750 0.625 0.875
0.875 0.625 0.250
0.875 0.750 0.625
0.065 0.632 0.397
0.065 0.933 0.668
0.067 0.235 0.132
0.067 0.332 0.935
0.103 0.735 0.668
0.103 0.868 0.435
0.132 0.067 0.235
0.132 0.565 0.897
0.168 0.235 0.603
0.168 0.433 0.565
0.235 0.132 0.067
0.235 0.603 0.168
0.265 0.332 0.897
0.265 0.433 0.368
0.332 0.897 0.265
0.332 0.935 0.067
0.368 0.265 0.433
0.368 0.603 0.935
0.397 0.065 0.632
0.397 0.832 0.765
0.433 0.368 0.265
0.433 0.565 0.168
0.435 0.103 0.868
0.435 0.832 0.567
0.565 0.168 0.433
0.565 0.897 0.132
0.567 0.435 0.832
0.567 0.632 0.735
0.603 0.168 0.235
0.603 0.935 0.368
0.632 0.397 0.065
0.632 0.735 0.567
0.668 0.065 0.933
0.668 0.103 0.735
0.735 0.567 0.632
0.735 0.668 0.103
0.765 0.397 0.832
0.765 0.868 0.933
0.832 0.567 0.435
0.832 0.765 0.397
0.868 0.435 0.103
0.868 0.933 0.765
0.897 0.132 0.565
0.897 0.265 0.332
0.933 0.668 0.065
0.933 0.765 0.868
0.935 0.067 0.332
0.935 0.368 0.603
0.000 0.000 0.000
0.000 0.000 0.500
0.000 0.500 0.000
0.000 0.500 0.500
0.125 0.750 0.875
0.125 0.875 0.250
0.250 0.125 0.875
0.250 0.625 0.375
0.375 0.250 0.625
0.375 0.625 0.750
0.500 0.000 0.000
0.500 0.000 0.500
0.500 0.500 0.000
0.500 0.500 0.500
0.625 0.375 0.250
0.625 0.750 0.375
0.750 0.375 0.625
0.750 0.875 0.125
0.875 0.125 0.750
0.875 0.250 0.125

=====

[4]
NaPr2Hg PBE relaxed; symmetry = No. 166; excess energy over the best structure of this formula in the dataset = 45 kJ/mol of formula units; theoretical density = 5.96 g/cm³; uncorrected energy = -2.78 eV/atom; V = 35.2 A^3/atom; ΔE_f = 0.04 eV per formula unit; total moment = 0.00 μB/cell; D(E_F) = 1.300 states/eV per atom
1.0
1.817 1.049 12.309
-1.817 1.049 12.309
0.000 -2.098 12.309
Na Pr Hg
1 2 1
direct
0.000 0.000 0.000
0.099 0.099 0.099
0.901 0.901 0.901
0.500 0.500 0.500